DFT (PBE-GGA) results for an optimized crystal structure of HfTlCoNi.

Unit cell a=4.509 b=4.509 c=4.509 alpha=60.00 beta=60.00 gamma=60.00
Last column: magnetic moment on the atom in μB.
Fractional coordinates of all 4 atoms:
Tl (0.000, 0.000, 0.000)  -0.02
Ni (0.500, 0.500, 0.500)  0.09
Co (0.750, 0.750, 0.750)  1.10
Hf (0.250, 0.250, 0.250)  -0.04

Computed properties:
Excess energy over the best structure of this formula in the dataset: 0.344 eV per atom
Energy: -23.971 eV/f.u.
Total moment: 1.10 μB per cell
Calculated density: 12819 kg/m3